Material: YLuCr2O8
Method: DFT, SCAN
State: single point on PBEsol structure

Summary:
As for the uncorrected formation energy: -2.897 eV per atom. Its space group is I-4m2 (119).

abc: 5.837 5.837 5.837
angles: 106.12 106.12 116.41
Atoms (fractional coordinates):
Y: 0.000 0.000 0.000
Lu: 0.750 0.250 0.500
Cr: 0.250 0.750 0.500
Cr: 0.500 0.500 0.000
O: 0.071 0.388 0.317
O: 0.071 0.753 0.683
O: 0.139 0.326 0.813
O: 0.247 0.929 0.317
O: 0.513 0.326 0.187
O: 0.612 0.929 0.683
O: 0.674 0.487 0.813
O: 0.674 0.861 0.187